(1)
# CaCuSi PBE relaxed
# **Formation energy (no corrections)**: -210.6 meV/atom
# **Uncorrected energy**: -24.31 eV per cell
data_CaCuSi
_space_group_name_H-M_alt 'P 1'
_space_group_IT_number 1
_cell_length_a 4.112
_cell_length_b 5.672
_cell_length_c 6.245
_cell_angle_alpha 95.19
_cell_angle_beta 90.01
_cell_angle_gamma 111.18
loop_
_space_group_symop_operation_xyz
'x,y,z'
loop_
_atom_site_label
_atom_site_fract_x
_atom_site_fract_y
_atom_site_fract_z
Ca1 0.000 0.000 0.000
Ca2 0.314 0.629 0.443
Cu1 0.041 0.084 0.511
Cu2 0.635 0.272 0.723
Si1 0.587 0.175 0.352
Si2 0.720 0.442 0.074



(2)
# CaCu12Si6 PBE relaxed
# **Formation energy (no corrections)**: 12.8 meV/atom
# **Uncorrected energy**: -250.35 eV per cell
data_CaCu12Si6
_space_group_name_H-M_alt 'R -3 m'
_space_group_IT_number 166
_space_group_name_Hall '-R 3 2"'
_cell_length_a 10.5558
_cell_length_b 10.5558
_cell_length_c 8.4047
_cell_angle_alpha 90.00
_cell_angle_beta 90.00
_cell_angle_gamma 120.00
loop_
_atom_site_label
_atom_site_fract_x
_atom_site_fract_y
_atom_site_fract_z
Ca1 0.0000 0.0000 0.0000
Cu1 0.0000 0.3846 0.5000
Cu2 0.0868 0.1736 0.3065
Si1 0.0543 0.5272 0.2510